Entry 1:
This record from Alexandria via LeMat-Bulk describes RePb2 after structural relaxation. The functional is PBE-GGA.

Cell lengths 7.953, 7.953, 6.458 Å; angles 75.33, 75.33, 22.97 degrees
Positions (direct):
Re: 0.000 0.000 0.683
Re: 0.000 0.000 0.317
Pb: 0.656 0.656 0.396
Pb: 0.382 0.382 0.078
Pb: 0.344 0.344 0.604
Pb: 0.618 0.618 0.922

Values from the calculation:
E in eV/f.u.: -17.88
SG: C2/m
Relative energy among the computed polymorphs in eV/atom: 0.102
Energy of formation in meV/atom: 662.6

---

Entry 2:
This record from Alexandria via LeMat-Bulk describes Tl2CdRe after structural relaxation. The functional is PBE-GGA.

Cell lengths 5.280, 5.280, 3.194 Å; angles 90.00, 90.00, 105.90 degrees
Positions (direct):
Re: 0.000 0.500 0.500
Tl: 0.000 0.000 0.000
Tl: 0.500 0.500 0.000
Cd: 0.500 0.000 0.500

Values from the calculation:
E in eV/f.u.: -14.34
SG: Cmmm
Relative energy among the computed polymorphs in eV/atom: 0.287
Energy of formation in meV/atom: 938.6

---

Entry 3:
This record from Alexandria via LeMat-Bulk describes USiTc after structural relaxation. The functional is PBE-GGA.

Cell lengths 3.234, 4.348, 4.348 Å; angles 120.00, 90.00, 90.00 degrees
Positions (direct):
Si: 0.500 0.333 0.667
U: 0.000 0.000 0.000
Tc: 0.500 0.667 0.333

Values from the calculation:
E in eV/f.u.: -27.96
E_form (uncorrected) in eV/atom: -0.293
SG: P-6m2
Relative energy among the computed polymorphs in eV/atom: 0.158

---

Entry 4:
This record from Alexandria via LeMat-Bulk describes Rb3H2Cl4 after structural relaxation. The functional is PBE-GGA.

Cell lengths 8.814, 10.330, 9.289 Å; angles 123.78, 76.07, 90.00 degrees
Positions (direct):
Rb: 0.202 0.725 0.687
Rb: 0.298 0.038 0.313
Rb: 0.798 0.275 0.313
Rb: 0.702 0.962 0.687
Rb: 0.750 0.633 0.000
Rb: 0.250 0.367 0.000
H: 0.501 0.600 0.301
H: 0.999 0.299 0.699
H: 0.499 0.400 0.699
H: 0.001 0.701 0.301
Cl: 0.471 0.576 0.795
Cl: 0.029 0.781 0.205
Cl: 0.529 0.424 0.205
Cl: 0.971 0.219 0.795
Cl: 0.969 0.609 0.401
Cl: 0.531 0.208 0.599
Cl: 0.031 0.391 0.599
Cl: 0.469 0.792 0.401

Values from the calculation:
E in eV/f.u.: -26.76
SG: C2/c

---

Entry 5:
This record from Alexandria via LeMat-Bulk describes ThAl2InCu4 after structural relaxation. The functional is PBE-GGA.

Cell lengths 4.228, 4.228, 9.436 Å; angles 77.05, 77.05, 60.00 degrees
Positions (direct):
Th: 0.000 0.000 0.000
Al: 0.751 0.751 0.748
Al: 0.249 0.249 0.252
In: 0.500 0.500 0.500
Cu: 0.402 0.402 0.793
Cu: 0.885 0.885 0.344
Cu: 0.115 0.115 0.656
Cu: 0.598 0.598 0.207

Values from the calculation:
E in eV/f.u.: -35.66
SG: R-3m
Energy of formation in meV/atom: -203.6

---

Entry 6:
This record from Alexandria via LeMat-Bulk describes Pa2GaCo3 after structural relaxation. The functional is PBE-GGA.

Cell lengths 5.785, 5.785, 7.353 Å; angles 106.15, 106.15, 107.03 degrees
Positions (direct):
Pa: 0.250 0.750 0.500
Pa: 0.758 0.758 0.000
Pa: 0.750 0.250 0.500
Pa: 0.242 0.242 0.000
Ga: 0.681 0.681 0.363
Ga: 0.319 0.319 0.637
Co: 0.368 0.835 0.203
Co: 0.165 0.632 0.797
Co: 0.632 0.165 0.797
Co: 0.835 0.368 0.203
Co: 0.135 0.135 0.270
Co: 0.865 0.865 0.730

Values from the calculation:
E in eV/f.u.: -45.13
SG: Fmmm
Relative energy among the computed polymorphs in eV/atom: 0.139
Energy of formation in meV/atom: -298.2

---

Entry 7:
This record from Alexandria via LeMat-Bulk describes SiRu after structural relaxation. The functional is PBE-GGA.

Cell lengths 7.954, 7.954, 7.954 Å; angles 20.75, 20.75, 20.75 degrees
Positions (direct):
Ru: 0.993 0.993 0.993
Ru: 0.757 0.757 0.757
Si: 0.498 0.498 0.498
Si: 0.252 0.252 0.252

Values from the calculation:
E in eV/f.u.: -14.92
E_form (uncorrected) in eV/atom: -0.111
SG: R-3m

---

Entry 8:
This record from Alexandria via LeMat-Bulk describes RbSnC2 after structural relaxation. The functional is PBE-GGA.

Cell lengths 5.430, 5.430, 7.391 Å; angles 68.45, 68.45, 90.00 degrees
Positions (direct):
C: 0.775 0.125 0.250
C: 0.975 0.625 0.250
C: 0.375 0.225 0.750
C: 0.875 0.025 0.750
Sn: 0.000 0.000 0.000
Sn: 0.750 0.250 0.500
Rb: 0.500 0.500 0.000
Rb: 0.250 0.750 0.500

Values from the calculation:
E in eV/f.u.: -16.44
SG: I-42d
Energy of formation in meV/atom: 1745.5

---

Entry 9:
This record from Alexandria via LeMat-Bulk describes Nd3Dy2In4 after structural relaxation. The functional is PBE-GGA.

Cell lengths 5.386, 5.380, 10.353 Å; angles 90.09, 90.00, 59.96 degrees
Positions (direct):
Nd: 0.333 0.333 0.422
Nd: 0.000 0.000 0.000
Nd: 0.667 0.667 0.578
Dy: 0.333 0.334 0.779
Dy: 0.667 0.666 0.221
In: 0.666 0.667 0.900
In: 0.000 0.000 0.345
In: 0.000 0.000 0.655
In: 0.334 0.333 0.100

Values from the calculation:
E in eV/f.u.: -38.16
SG: C2/m
Relative energy among the computed polymorphs in eV/atom: 0.000
Energy of formation in meV/atom: -410.6

---

Entry 10:
This record from Alexandria via LeMat-Bulk describes HoErSc5 after structural relaxation. The functional is PBE-GGA.

Cell lengths 5.066, 5.066, 7.649 Å; angles 90.00, 90.00, 90.00 degrees
Positions (direct):
Ho: 0.000 0.000 0.500
Er: 0.500 0.500 0.000
Sc: 0.000 0.500 0.773
Sc: 0.000 0.500 0.227
Sc: 0.500 0.000 0.773
Sc: 0.500 0.000 0.227
Sc: 0.500 0.500 0.500

Values from the calculation:
E in eV/f.u.: -38.20
SG: P4/mmm
Energy of formation in meV/atom: 371.1

---

Entry 11:
This record from Alexandria via LeMat-Bulk describes Hf2ZnIn after structural relaxation. The functional is PBE-GGA.

Cell lengths 3.206, 3.206, 9.594 Å; angles 80.38, 80.38, 60.00 degrees
Positions (direct):
Zn: 0.000 0.000 0.000
Hf: 0.257 0.257 0.229
Hf: 0.743 0.743 0.771
In: 0.500 0.500 0.500

Values from the calculation:
E in eV/f.u.: -24.10
SG: R-3m
Energy of formation in meV/atom: -45.2

---

Entry 12:
This record from Alexandria via LeMat-Bulk describes TeSeN2Cl after structural relaxation. The functional is PBE-GGA.

Cell lengths 3.853, 3.853, 7.166 Å; angles 90.00, 90.00, 90.00 degrees
Positions (direct):
N: 0.000 0.500 0.000
N: 0.500 0.000 0.000
Te: 0.000 0.000 0.500
Se: 0.000 0.000 0.000
Cl: 0.500 0.500 0.500

Values from the calculation:
E in eV/f.u.: -17.47
E_form (uncorrected) in eV/atom: 1.530
SG: P4/mmm
Relative energy among the computed polymorphs in eV/atom: 0.146